VASP calculation (PBE) on TmMg2Pd6 after structural relaxation.

Computed properties:
**Crystal system**: orthorhombic
**ΔE_f**: -0.530 eV per atom

abc: 6.299 6.299 6.299
angles: 136.63 105.91 89.94
Fractional positions:
Tm 0.000 0.000 0.000
Mg 0.341 0.341 0.000
Mg 0.659 0.659 0.000
Pd 0.133 0.826 0.306
Pd 0.205 0.500 0.705
Pd 0.480 0.174 0.306
Pd 0.520 0.826 0.694
Pd 0.795 0.500 0.295
Pd 0.867 0.174 0.694